1.
An optimized crystal structure of Y2ZrMn2, computed with GGA-PBE.

Its calculated formation energy is 0.809 eV per formula unit. For the distance to the lowest polymorph of the same formula, the calculation gives 0 meV/atom. For the density of states at the Fermi level, the calculation gives 1.233 states/eV/atom. The value obtained for the electronic total energy is -78.0 eV per cell. The calculated volume comes out at 216.7 Å³ per cell.

It has space group P4/mbm (No. 127), with a = 6.8577 Å, b = 6.8577 Å, c = 4.6073 Å, α = 90.00°, β = 90.00° and γ = 90.00°. The asymmetric unit holds Y at (0.1782, 0.3218, 0.0000), Zr at (0.0000, 0.0000, 0.5000) and Mn at (0.1117, 0.6117, 0.5000).

---

2.
An optimized crystal structure of Ca2LaSm2, computed with GGA-PBE.

Its calculated formation energy is 0.934 eV per formula unit. For the density of states at the Fermi level, the calculation gives 1.497 states/eV/atom. The value obtained for the electronic total energy is -34.9 eV per cell. The calculated volume comes out at 373.8 Å³ per cell.

It has space group P4/mbm (No. 127), with a = 9.6215 Å, b = 9.6215 Å, c = 4.0382 Å, α = 90.00°, β = 90.00° and γ = 90.00°. The asymmetric unit holds Ca at (0.1723, 0.3277, 0.0000), La at (0.0000, 0.0000, 0.5000) and Sm at (0.1255, 0.6255, 0.5000).

---

3.
An optimized crystal structure of Sr2In6AgAu, computed with GGA-PBE.

Its calculated formation energy is -2.214 eV per formula unit. For the density of states at the Fermi level, the calculation gives 0.466 states/eV/atom. The value obtained for the electronic total energy is -168.8 eV per cell. The calculated volume comes out at 1743.4 Å³ per cell.

It has space group R-3m (No. 166, hexagonal axes), with a = 7.2495 Å, b = 7.2495 Å, c = 38.3036 Å, α = 90.00°, β = 90.00° and γ = 120.00°. The asymmetric unit holds Sr at (0.0000, 0.0000, 0.1062), Sr at (0.0000, 0.0000, 0.2815), In at (0.0528, 0.5264, 0.3002), In at (0.0575, 0.5288, 0.8675), Ag at (0.0000, 0.0000, 0.4256), Au at (0.0000, 0.0000, 0.0000) and Au at (0.0000, 0.0000, 0.5000).

---

4.
An optimized crystal structure of Pm3Pr5Dy4, computed with GGA-PBE.

Its calculated formation energy is 2.540 eV per formula unit. For the distance to the lowest polymorph of the same formula, the calculation gives 197 meV/atom. For the density of states at the Fermi level, the calculation gives 1.616 states/eV/atom. The value obtained for the electronic total energy is -108.0 eV per cell. The calculated volume comes out at 839.8 Å³ per cell.

It has space group C2/m (No. 12), with a = 9.8518 Å, b = 5.9201 Å, c = 15.2110 Å, α = 90.00°, β = 108.80° and γ = 90.00°. The asymmetric unit holds Pm at (0.0000, 0.0000, 0.0000), Pm at (0.2047, 0.5000, 0.2493), Pr at (0.0000, 0.5000, 0.0000), Pr at (0.0446, 0.0000, 0.2486), Pr at (0.1692, 0.0000, 0.4999), Dy at (0.0614, 0.5000, 0.6231) and Dy at (0.1767, 0.5000, 0.8541).

---

5.
An optimized crystal structure of Ba3ScHg, computed with GGA-PBE.

Its calculated formation energy is 1.423 eV per formula unit. For the distance to the lowest polymorph of the same formula, the calculation gives 0 meV/atom. For the density of states at the Fermi level, the calculation gives 2.407 states/eV/atom. The value obtained for the electronic total energy is -11.0 eV per cell. The calculated volume comes out at 277.3 Å³ per cell.

It has space group Pm-3m (No. 221), with a = 6.5208 Å, b = 6.5208 Å, c = 6.5208 Å, α = 90.00°, β = 90.00° and γ = 90.00°. The asymmetric unit holds Ba at (0.0000, 0.0000, 0.5000), Sc at (0.5000, 0.5000, 0.5000) and Hg at (0.0000, 0.0000, 0.0000).

---

6.
An optimized crystal structure of Ga2As2Ru, computed with GGA-PBE.

Its calculated formation energy is 1.839 eV per formula unit. For the distance to the lowest polymorph of the same formula, the calculation gives 83 meV/atom. For the density of states at the Fermi level, the calculation gives 0.419 states/eV/atom. The value obtained for the electronic total energy is -45.6 eV per cell. The calculated volume comes out at 190.3 Å³ per cell.

It has space group I4/mmm (No. 139), with a = 3.4292 Å, b = 3.4292 Å, c = 16.1794 Å, α = 90.00°, β = 90.00° and γ = 90.00°. The asymmetric unit holds Ga at (0.0000, 0.0000, 0.0816), As at (0.0000, 0.5000, 0.2500) and Ru at (0.0000, 0.0000, 0.5000).

---

7.
An optimized crystal structure of Pm2TlH2, computed with GGA-PBE.

For the distance to the lowest polymorph of the same formula, the calculation gives 0 meV/atom. For the density of states at the Fermi level, the calculation gives 0.446 states/eV/atom. The value obtained for the electronic total energy is -42.9 eV per cell. The calculated volume comes out at 192.6 Å³ per cell.

It has space group I4/mmm (No. 139), with a = 3.9785 Å, b = 3.9785 Å, c = 12.1710 Å, α = 90.00°, β = 90.00° and γ = 90.00°. The asymmetric unit holds Pm at (0.0000, 0.0000, 0.1512), Tl at (0.0000, 0.0000, 0.5000) and H at (0.0000, 0.5000, 0.2500).

---

8.
An optimized crystal structure of SrRuPtAu2, computed with GGA-PBE.

Its calculated formation energy is 9.319 eV per formula unit. For the density of states at the Fermi level, the calculation gives 1.274 states/eV/atom. The value obtained for the electronic total energy is -14.2 eV per cell. The calculated volume comes out at 139.5 Å³ per cell.

It has space group P4/mmm (No. 123), with a = 5.3332 Å, b = 5.3332 Å, c = 4.9043 Å, α = 90.00°, β = 90.00° and γ = 90.00°. The asymmetric unit holds Sr at (0.0000, 0.0000, 0.0000), Ru at (0.0000, 0.0000, 0.5000), Pt at (0.5000, 0.5000, 0.5000) and Au at (0.0000, 0.5000, 0.0000).

---

9.
An optimized crystal structure of PrSm14Tm, computed with GGA-PBE.

Its calculated formation energy is 0.012 eV per formula unit. For the density of states at the Fermi level, the calculation gives 1.033 states/eV/atom. The value obtained for the electronic total energy is -150.6 eV per cell. The calculated volume comes out at 1075.9 Å³ per cell.

It has space group Amm2 (No. 38), with a = 11.7250 Å, b = 7.2784 Å, c = 12.6069 Å, α = 90.00°, β = 90.00° and γ = 90.00°. The asymmetric unit holds Pr at (0.0000, 0.0000, 0.0000), Sm at (0.0000, 0.2488, 0.7509), Sm at (0.2479, 0.0000, 0.3340), Sm at (0.2493, 0.2490, 0.5836), Sm at (0.2520, 0.0000, 0.8335), Sm at (0.5000, 0.0000, 0.1668), Sm at (0.5000, 0.0000, 0.6664), Sm at (0.5000, 0.2491, 0.4167) and Tm at (0.0000, 0.0000, 0.5008).

---

10.
An optimized crystal structure of SiHg3Os, computed with GGA-PBE.

The uncorrected formation energy comes out at 1.24 eV per atom. For the distance to the lowest polymorph of the same formula, the calculation gives 0 meV/atom. For the density of states at the Fermi level, the calculation gives 0.906 states/eV/atom. The value obtained for the electronic total energy is -11.3 eV per cell. The calculated volume comes out at 141.6 Å³ per cell.

It has space group Pm-3m (No. 221), with a = 5.2125 Å, b = 5.2125 Å, c = 5.2125 Å, α = 90.00°, β = 90.00° and γ = 90.00°. The asymmetric unit holds Si at (0.0000, 0.0000, 0.0000), Hg at (0.0000, 0.5000, 0.5000) and Os at (0.5000, 0.5000, 0.5000).

---

11.
An optimized crystal structure of CsDyBeS3, computed with GGA-PBE.

The uncorrected formation energy comes out at -1.56 eV per atom. For the density of states at the Fermi level, the calculation gives 0.000 states/eV/atom. The value obtained for the electronic total energy is -61.9 eV per cell. The calculated volume comes out at 328.6 Å³ per cell.

It has space group P2_1/m (No. 11), with a = 9.5242 Å, b = 3.9064 Å, c = 9.5694 Å, α = 90.00°, β = 112.62° and γ = 90.00°. The asymmetric unit holds Cs at (0.2426, 0.2500, 0.2117), Dy at (0.1471, 0.2500, 0.6678), Be at (0.3940, 0.7500, 0.9251), S at (0.1596, 0.7500, 0.4749), S at (0.1627, 0.7500, 0.8740) and S at (0.4628, 0.2500, 0.8428).

---

12.
An optimized crystal structure of K2LiCl, computed with GGA-PBE.

The uncorrected formation energy comes out at -0.72 eV per atom. For the distance to the lowest polymorph of the same formula, the calculation gives 100 meV/atom. For the density of states at the Fermi level, the calculation gives 0.376 states/eV/atom. The value obtained for the electronic total energy is -35.3 eV per cell. The calculated volume comes out at 795.7 Å³ per cell.

It has space group I-42d (No. 122), with a = 8.9874 Å, b = 8.9874 Å, c = 9.8513 Å, α = 90.00°, β = 90.00° and γ = 90.00°. The asymmetric unit holds K at (0.1765, 0.2500, 0.1250), Li at (0.0000, 0.0000, 0.5000) and Cl at (0.0000, 0.0000, 0.0000).